# 1
Crystalline NbTe4 at its relaxed geometry. Source: the Alexandria database, functional GGA-PBEsol.

The volume is 144 Å³/f.u. For the total energy, the calculation gives -26.7 eV/f.u. The energy relative to the elements, uncorrected is -350.6 meV per atom.

It has space group P4/ncc (No. 130, origin choice 2), with a = 9.165 Å, b = 9.165 Å, c = 20.541 Å, α = 90.00°, β = 90.00° and γ = 90.00°. The inequivalent atoms are Nb at (0.250, 0.250, 0.070), Nb at (0.250, 0.250, 0.262), Nb at (0.250, 0.250, 0.415), Te at (0.005, 0.167, 0.335), Te at (0.009, 0.159, 0.997) and Te at (0.032, 0.154, 0.666).

***

# 2
Crystalline Ca2SnCl at its relaxed geometry. Source: the Alexandria database, functional GGA-PBEsol.

The volume is 107 Å³/f.u. For the total energy, the calculation gives -14.3 eV/f.u. The energy relative to the elements, uncorrected is -942.5 meV per atom.

It has space group Fm-3m (No. 225), with a = 7.543 Å, b = 7.543 Å, c = 7.543 Å, α = 90.00°, β = 90.00° and γ = 90.00°. The inequivalent atoms are Ca at (0.250, 0.250, 0.250), Sn at (0.000, 0.000, 0.000) and Cl at (0.000, 0.000, 0.500).

***

# 3
Crystalline MgSN2O at its relaxed geometry. Source: the Alexandria database, functional GGA-PBEsol.

The volume is 53 Å³/f.u. For the total energy, the calculation gives -21.6 eV/f.u. The energy relative to the elements, uncorrected is 1363.1 meV per atom.

It has space group P4/mmm (No. 123), with a = 3.749 Å, b = 3.749 Å, c = 3.765 Å, α = 90.00°, β = 90.00° and γ = 90.00°. The inequivalent atoms are Mg at (0.000, 0.000, 0.000), S at (0.500, 0.500, 0.000), N at (0.000, 0.500, 0.500) and O at (0.500, 0.500, 0.500).

***

# 4
Crystalline RbHfAl2Sn at its relaxed geometry. Source: the Alexandria database, functional GGA-PBEsol.

The volume is 144 Å³/f.u. For the total energy, the calculation gives -14.5 eV/f.u. For the energy relative to the elements, the calculation gives 1.897 eV per atom.

It has space group P4/mmm (No. 123), with a = 5.104 Å, b = 5.104 Å, c = 5.541 Å, α = 90.00°, β = 90.00° and γ = 90.00°. The inequivalent atoms are Rb at (0.000, 0.000, 0.000), Hf at (0.500, 0.500, 0.500), Al at (0.000, 0.500, 0.000) and Sn at (0.000, 0.000, 0.500).

***

- What is the formula in the fourth record?
  RbHfAl2Sn

***

- Which value of volume does entry 1 give?
  144 Å³/f.u.

***

- volume of number 4 (RbHfAl2Sn)?
  144 Å³/f.u.